Record 1
Computed, not measured: a geometry-optimized Sb2Se3I structure at the PBE level of DFT.

raw formation energy: -0.157 eV per atom

Lattice parameters (Å, degrees): 8.0307 8.0307 21.3946 90.00 90.00 120.00
Space group R-3m (No. 166, hexagonal axes)
Inequivalent atoms, fractional coordinates:
Sb 0.0000 0.0000 0.0000 x3
Sb 0.0000 0.5000 0.0000 x9
Se 0.0089 0.5045 0.7430 x18
I 0.0000 0.0000 0.2376 x6

***

Record 2
Computed, not measured: a geometry-optimized NdPaPd2 structure at the PBE level of DFT.

ΔH_f (0 K): -0.489 eV per atom

Lattice parameters (Å, degrees): 3.9423 3.9423 22.2688 90.00 90.00 120.00
Space group R-3m (No. 166, hexagonal axes)
Inequivalent atoms, fractional coordinates:
Nd 0.0000 0.0000 0.0000 x3
Pa 0.0000 0.0000 0.5000 x3
Pd 0.0000 0.0000 0.2420 x6

***

Record 3
Computed, not measured: a geometry-optimized AcTiI structure at the PBE level of DFT.

raw formation energy: -0.372 eV per atom

Lattice parameters (Å, degrees): 23.293 4.467 4.494 90.00 100.95 90.00
Space group C2/m (No. 12)
Inequivalent atoms, fractional coordinates:
Ac 0.166 0.000 0.418 x4
Ti 0.223 0.500 0.974 x4
I 0.090 0.500 0.842 x4

***

Record 4
Computed, not measured: a geometry-optimized Ba2CeTlSe5 structure at the PBE level of DFT.

raw formation energy: -1.515 eV per atom

Lattice parameters (Å, degrees): 4.442 19.017 13.524 90.00 90.00 90.00
Space group Cmc2_1 (No. 36)
Inequivalent atoms, fractional coordinates:
Ba 0.000 0.115 0.000 x4
Ba 0.000 0.134 0.626 x4
Ce 0.000 0.209 0.328 x4
Tl 0.000 0.465 0.766 x4
Se 0.000 0.052 0.385 x4
Se 0.000 0.288 0.970 x4
Se 0.000 0.313 0.684 x4
Se 0.000 0.358 0.316 x4
Se 0.000 0.492 0.077 x4

***

Record 5
Computed, not measured: a geometry-optimized Ca2Ta structure at the PBE level of DFT.

ΔH_f (0 K): 0.809 eV per atom

Lattice parameters (Å, degrees): 5.5539 5.5539 2.9583 90.00 90.00 120.00
Space group P-3m1 (No. 164)
Inequivalent atoms, fractional coordinates:
Ca 0.3333 0.6667 0.0024 x2
Ta 0.0000 0.0000 0.5000 x1

***

Record 6
Computed, not measured: a geometry-optimized Nd7Sm3Y2 structure at the PBE level of DFT.

ΔH_f (0 K): 0.089 eV per atom

Lattice parameters (Å, degrees): 5.967 3.631 19.284 90.00 93.33 90.00
Space group P2/m (No. 10)
Inequivalent atoms, fractional coordinates:
Nd 0.000 0.000 0.000 x1
Nd 0.184 0.500 0.182 x2
Nd 0.257 0.500 0.535 x2
Nd 0.318 0.000 0.856 x2
Sm 0.219 0.000 0.367 x2
Sm 0.500 0.500 0.000 x1
Y 0.291 0.500 0.704 x2

***

Record 7
Computed, not measured: a geometry-optimized SrZnIn2 structure at the PBE level of DFT.

ΔH_f (0 K): -0.204 eV per atom

Lattice parameters (Å, degrees): 5.340 5.340 7.451 90.00 90.00 90.00
Space group I-4m2 (No. 119)
Inequivalent atoms, fractional coordinates:
Sr 0.000 0.000 0.000 x2
Zn 0.000 0.500 0.750 x2
In 0.000 0.000 0.500 x2
In 0.000 0.500 0.250 x2

***

Record 8
Computed, not measured: a geometry-optimized ZnCuIr2 structure at the PBE level of DFT.

ΔH_f (0 K): 0.064 eV per atom

Lattice parameters (Å, degrees): 2.804 4.608 8.723 90.00 90.00 90.00
Space group Cmmm (No. 65)
Inequivalent atoms, fractional coordinates:
Zn 0.000 0.000 0.000 x2
Cu 0.000 0.000 0.500 x2
Ir 0.000 0.500 0.250 x4

***

Record 9
Computed, not measured: a geometry-optimized Nd2PPt6 structure at the PBE level of DFT.

ΔH_f (0 K): -0.921 eV per atom

Lattice parameters (Å, degrees): 9.867 5.718 6.097 90.00 103.74 90.00
Space group C2/m (No. 12)
Inequivalent atoms, fractional coordinates:
Nd 0.140 0.000 0.348 x4
P 0.000 0.500 0.500 x2
Pt 0.122 0.500 0.206 x4
Pt 0.135 0.248 0.807 x8

***

Record 10
Computed, not measured: a geometry-optimized Na3NbSe structure at the PBE level of DFT.

raw formation energy: 0.504 eV per atom

Lattice parameters (Å, degrees): 5.514 5.514 5.514 90.00 90.00 90.00
Space group Pm-3m (No. 221)
Inequivalent atoms, fractional coordinates:
Na 0.000 0.000 0.500 x3
Nb 0.500 0.500 0.500 x1
Se 0.000 0.000 0.000 x1

***

Record 11
Computed, not measured: a geometry-optimized LaSi2P2 structure at the PBE level of DFT.

raw formation energy: -0.312 eV per atom

Lattice parameters (Å, degrees): 4.580 4.580 9.567 90.00 90.00 90.00
Space group P4/nmm (No. 129, origin choice 2)
Inequivalent atoms, fractional coordinates:
La 0.250 0.250 0.249 x2
Si 0.250 0.250 0.921 x2
Si 0.250 0.750 0.500 x2
P 0.250 0.250 0.569 x2
P 0.250 0.750 0.000 x2

***

Record 12
Computed, not measured: a geometry-optimized Ba8TlAg2 structure at the PBE level of DFT.

ΔH_f (0 K): -0.136 eV per atom

Lattice parameters (Å, degrees): 21.480 5.966 8.436 90.00 107.09 90.00
Space group C2/m (No. 12)
Inequivalent atoms, fractional coordinates:
Ba 0.037 0.000 0.298 x4
Ba 0.092 0.500 0.946 x4
Ba 0.171 0.500 0.470 x4
Ba 0.204 0.000 0.827 x4
Tl 0.000 0.500 0.500 x2
Ag 0.187 0.000 0.214 x4